Here is an optimized crystal structure of Zn2TcIr from the Open Quantum Materials Database. Energies are from PBE.

Cell: 4.3255 4.3255 4.3255 Å, 60.00 60.00 60.00°
Last column: nearest neighbours and their distance in Å.
Positions (direct):
Zn (0.2500, 0.2500, 0.2500)  4 Ir 2.65, 4 Zn 2.65
Tc (0.7500, 0.7500, 0.7500)  4 Zn 2.65, 4 Ir 2.65
Ir (0.5000, 0.5000, 0.5000)  4 Zn 2.65, 4 Tc 2.65
Zn (0.0000, 0.0000, 0.0000)  4 Tc 2.65, 4 Zn 2.65

VASP energy	-21.50	eV for the cell shown
magnetic moment	0.0	μB per cell
symmetry	No. 216